Record 1
This record from Alexandria via LeMat-Bulk describes an optimized crystal structure of Li4Ac2MgIn3. The functional is PBE.

Geometry as CIF:
```
data_Li4Ac2MgIn3
_chemical_formula_sum 'Li4 Ac2 Mg1 In3'
_cell_length_a 4.954
_cell_length_b 4.954
_cell_length_c 10.382
_cell_angle_alpha 90.00
_cell_angle_beta 90.00
_cell_angle_gamma 90.00
_symmetry_space_group_name_H-M 'P -4 m 2'
_symmetry_Int_Tables_number 115
loop_
_symmetry_equiv_pos_as_xyz
'x,y,z'
'y,-x,-z'
'-x,-y,z'
'-y,x,-z'
'-x,y,z'
'-y,-x,-z'
'x,-y,z'
'y,x,-z'
loop_
_atom_site_label
_atom_site_type_symbol
_atom_site_fract_x
_atom_site_fract_y
_atom_site_fract_z
Li1 Li 0.000 0.000 0.000
Li2 Li 0.000 0.500 0.382
Li3 Li 0.500 0.500 0.000
Ac1 Ac 0.000 0.500 0.763
Mg1 Mg 0.500 0.500 0.500
In1 In 0.000 0.000 0.500
In2 In 0.000 0.500 0.127
```

Results
ρ	5.54	g/cm3
magnetic moment	0.0	μB/f.u.
electronic total energy	-2.807	eV/atom

---

Record 2
This record from Alexandria via LeMat-Bulk describes an optimized crystal structure of Li4AcMgIn2. The functional is PBE.

Geometry as CIF:
```
data_Li4AcMgIn2
_chemical_formula_sum 'Li12 Ac3 Mg3 In6'
_cell_length_a 5.0173
_cell_length_b 5.0173
_cell_length_c 24.6621
_cell_angle_alpha 90.00
_cell_angle_beta 90.00
_cell_angle_gamma 120.00
_symmetry_space_group_name_H-M 'R -3 m'
_symmetry_Int_Tables_number 166
_symmetry_space_group_name_Hall '-R 3 2"'
loop_
_atom_site_label
_atom_site_type_symbol
_atom_site_fract_x
_atom_site_fract_y
_atom_site_fract_z
Li1 Li 0.0000 0.0000 0.1102
Li2 Li 0.0000 0.0000 0.3654
Ac1 Ac 0.0000 0.0000 0.5000
Mg1 Mg 0.0000 0.0000 0.0000
In1 In 0.0000 0.0000 0.2484
```

Results
ρ	4.71	g/cm3
magnetic moment	0.0	μB/f.u.
electronic total energy	-2.549	eV/atom

---

Record 3
This record from Alexandria via LeMat-Bulk describes an optimized crystal structure of LiAcMg2In4. The functional is PBE.

Geometry as CIF:
```
data_LiAcMg2In4
_chemical_formula_sum 'Li3 Ac3 Mg6 In12'
_cell_length_a 5.0234
_cell_length_b 5.0234
_cell_length_c 28.2521
_cell_angle_alpha 90.00
_cell_angle_beta 90.00
_cell_angle_gamma 120.00
_symmetry_space_group_name_H-M 'R -3 m'
_symmetry_Int_Tables_number 166
_symmetry_space_group_name_Hall '-R 3 2"'
loop_
_atom_site_label
_atom_site_type_symbol
_atom_site_fract_x
_atom_site_fract_y
_atom_site_fract_z
Li1 Li 0.0000 0.0000 0.0000
Ac1 Ac 0.0000 0.0000 0.5000
Mg1 Mg 0.0000 0.0000 0.2565
In1 In 0.0000 0.0000 0.1031
In2 In 0.0000 0.0000 0.3683
```

Results
ρ	5.99	g/cm3
magnetic moment	0.0	μB/f.u.
electronic total energy	-2.788	eV/atom

---

Record 4
This record from Alexandria via LeMat-Bulk describes an optimized crystal structure of Li2AcMgIn4. The functional is PBE.

Geometry as CIF:
```
data_Li2AcMgIn4
_chemical_formula_sum 'Li6 Ac3 Mg3 In12'
_cell_length_a 4.8486
_cell_length_b 4.8486
_cell_length_c 29.7822
_cell_angle_alpha 90.00
_cell_angle_beta 90.00
_cell_angle_gamma 120.00
_symmetry_space_group_name_H-M 'R -3 m'
_symmetry_Int_Tables_number 166
_symmetry_space_group_name_Hall '-R 3 2"'
loop_
_atom_site_label
_atom_site_type_symbol
_atom_site_fract_x
_atom_site_fract_y
_atom_site_fract_z
Li1 Li 0.0000 0.0000 0.2307
Ac1 Ac 0.0000 0.0000 0.0000
Mg1 Mg 0.0000 0.0000 0.5000
In1 In 0.0000 0.0000 0.1225
In2 In 0.0000 0.0000 0.4004
```

Results
ρ	5.95	g/cm3
magnetic moment	0.0	μB/f.u.
electronic total energy	-2.851	eV/atom

---

Record 5
This record from Alexandria via LeMat-Bulk describes an optimized crystal structure of LiAc2Mg4In3. The functional is PBE.

Geometry as CIF:
```
data_LiAc2Mg4In3
_chemical_formula_sum 'Li1 Ac2 Mg4 In3'
_cell_length_a 4.808
_cell_length_b 4.808
_cell_length_c 12.004
_cell_angle_alpha 90.00
_cell_angle_beta 90.00
_cell_angle_gamma 90.00
_symmetry_space_group_name_H-M 'P -4 m 2'
_symmetry_Int_Tables_number 115
loop_
_symmetry_equiv_pos_as_xyz
'x,y,z'
'y,-x,-z'
'-x,-y,z'
'-y,x,-z'
'-x,y,z'
'-y,-x,-z'
'x,-y,z'
'y,x,-z'
loop_
_atom_site_label
_atom_site_type_symbol
_atom_site_fract_x
_atom_site_fract_y
_atom_site_fract_z
Li1 Li 0.000 0.000 0.000
Ac1 Ac 0.000 0.500 0.748
Mg1 Mg 0.000 0.000 0.500
Mg2 Mg 0.000 0.500 0.125
Mg3 Mg 0.500 0.500 0.500
In1 In 0.000 0.500 0.358
In2 In 0.500 0.500 0.000
```

Results
ρ	5.40	g/cm3
magnetic moment	0.0	μB/f.u.
electronic total energy	-2.733	eV/atom

---

Record 6
This record from Alexandria via LeMat-Bulk describes an optimized crystal structure of LiAcMg4In2. The functional is PBE.

Geometry as CIF:
```
data_LiAcMg4In2
_chemical_formula_sum 'Li3 Ac3 Mg12 In6'
_cell_length_a 4.9796
_cell_length_b 4.9796
_cell_length_c 27.7908
_cell_angle_alpha 90.00
_cell_angle_beta 90.00
_cell_angle_gamma 120.00
_symmetry_space_group_name_H-M 'R -3 m'
_symmetry_Int_Tables_number 166
_symmetry_space_group_name_Hall '-R 3 2"'
loop_
_atom_site_label
_atom_site_type_symbol
_atom_site_fract_x
_atom_site_fract_y
_atom_site_fract_z
Li1 Li 0.0000 0.0000 0.0000
Ac1 Ac 0.0000 0.0000 0.5000
Mg1 Mg 0.0000 0.0000 0.1006
Mg2 Mg 0.0000 0.0000 0.3680
In1 In 0.0000 0.0000 0.2534
```

Results
ρ	4.68	g/cm3
magnetic moment	0.0	μB/f.u.
electronic total energy	-2.402	eV/atom

---

| no. | energy of formation (kJ per mole of atoms) |
| --- | --- |
| 1 | -23.04 |
| 2 | -18.82 |
| 3 | -25.83 |
| 4 | -28.02 |
| 5 | -25.10 |
| 6 | -16.17 |